Record 1
! La2Pr3YS6 | Alexandria via LeMat-Bulk | PBE-GGA | optimized geometry; values from VASP
&SYSTEM
  ibrav = 0, nat = 12, ntyp = 4
/
ATOMIC_SPECIES
La 138.91 La.upf
Pr 140.91 Pr.upf
Y 88.91 Y.upf
S 32.06 S.upf
CELL_PARAMETERS angstrom
3.544 -6.149 0.000
3.544 6.149 0.000
-2.376 0.000 6.668
ATOMIC_POSITIONS crystal
La 0.166 0.834 0.000
La 0.834 0.166 0.000
Pr 0.000 0.000 0.500
Pr 0.330 0.670 0.500
Pr 0.670 0.330 0.500
Y 0.500 0.500 0.000
S 0.096 0.419 0.757
S 0.260 0.260 0.248
S 0.419 0.096 0.757
S 0.581 0.904 0.243
S 0.740 0.740 0.752
S 0.904 0.581 0.243
! Uncorrected formation energy, eV/atom: -2.068
! Space group: No. 12
! Mass density, g/cm³: 5.61


Record 2
! La2Sn8Ru | Alexandria via LeMat-Bulk | PBE-GGA | optimized geometry; values from VASP
&SYSTEM
  ibrav = 0, nat = 11, ntyp = 3
/
ATOMIC_SPECIES
La 138.91 La.upf
Sn 118.71 Sn.upf
Ru 101.07 Ru.upf
CELL_PARAMETERS angstrom
4.752 0.000 0.000
0.000 4.752 0.000
0.000 0.000 12.598
ATOMIC_POSITIONS crystal
La 0.000 0.000 0.194
La 0.000 0.000 0.806
Sn 0.000 0.500 0.000
Sn 0.000 0.500 0.382
Sn 0.000 0.500 0.618
Sn 0.500 0.000 0.000
Sn 0.500 0.000 0.382
Sn 0.500 0.000 0.618
Sn 0.500 0.500 0.195
Sn 0.500 0.500 0.805
Ru 0.000 0.000 0.500
! Space group: No. 123
! Energy of formation from the pure elements, meV per atom: -466
! Mass density, g/cm³: 7.75


Record 3
! BeCrNi | Alexandria via LeMat-Bulk | PBE-GGA | optimized geometry; values from VASP
&SYSTEM
  ibrav = 0, nat = 6, ntyp = 3
/
ATOMIC_SPECIES
Be 9.01 Be.upf
Cr 52.00 Cr.upf
Ni 58.69 Ni.upf
CELL_PARAMETERS angstrom
3.202 0.000 0.000
0.000 3.202 0.000
0.000 0.000 6.055
ATOMIC_POSITIONS crystal
Be 0.250 0.250 0.200
Be 0.750 0.750 0.800
Cr 0.250 0.750 0.500
Cr 0.750 0.250 0.500
Ni 0.250 0.250 0.845
Ni 0.750 0.750 0.155
! Space group: No. 129
! Energy of formation from the pure elements, meV per atom: -25
! Polymorph energy (0 for the lowest one), eV/atom: 0.1372
! Mass density, g/cm³: 6.40


Record 4
! KAsF6 | Alexandria via LeMat-Bulk | PBE-GGA | optimized geometry; values from VASP
&SYSTEM
  ibrav = 0, nat = 8, ntyp = 3
/
ATOMIC_SPECIES
K 39.10 K.upf
As 74.92 As.upf
F 19.00 F.upf
CELL_PARAMETERS angstrom
2.713 1.566 4.975
-2.713 1.566 4.975
0.000 -3.133 4.975
ATOMIC_POSITIONS crystal
K 0.000 0.000 0.000
As 0.500 0.500 0.500
F 0.124 0.585 0.585
F 0.415 0.415 0.876
F 0.415 0.876 0.415
F 0.585 0.124 0.585
F 0.585 0.585 0.124
F 0.876 0.415 0.415
! Uncorrected formation energy, eV/atom: -2.414
! Space group: No. 166
! Mass density, g/cm³: 2.98


For reference, E by record: -80.242 -56.281 -38.411 -36.290 eV/cell.
For reference, V by record: 290.64 284.48 62.08 126.86 Å³/cell.